DFT (GGA-PBEsol) results for a relaxed structure of Ta4AlTc.

Unit cell a=7.4865 b=7.4865 c=7.4865 alpha=90.00 beta=90.00 gamma=90.00
Space group F-43m (No. 216)
Inequivalent atoms, fractional coordinates:
Ta 0.1251 0.1251 0.1251
Al 0.0000 0.0000 0.5000
Tc 0.2500 0.2500 0.7500

**DFT formation energy**: 0.35 eV per atom
**DFT total energy**: -63.48 eV/f.u.

---

DFT (GGA-PBEsol) results for a relaxed structure of AsRuN2.

Unit cell a=2.9145 b=2.9145 c=18.7967 alpha=90.00 beta=90.00 gamma=120.00
Space group R-3m (No. 166, hexagonal axes)
Inequivalent atoms, fractional coordinates:
As 0.0000 0.0000 0.0000
Ru 0.0000 0.0000 0.5000
N 0.0000 0.0000 0.1059

**DFT total energy**: -30.45 eV/f.u.

---

DFT (GGA-PBEsol) results for a relaxed structure of BaSI2.

Unit cell a=8.1485 b=8.1485 c=8.1485 alpha=90.00 beta=90.00 gamma=90.00
Space group Fm-3m (No. 225)
Inequivalent atoms, fractional coordinates:
Ba 0.0000 0.0000 0.0000
S 0.0000 0.0000 0.5000
I 0.2500 0.2500 0.2500

**DFT total energy**: -12.93 eV/f.u.

---

DFT (GGA-PBEsol) results for a relaxed structure of LiFeHg2Br.

Unit cell a=6.2481 b=6.2481 c=4.3800 alpha=90.00 beta=90.00 gamma=90.00
Space group P4/mmm (No. 123)
Inequivalent atoms, fractional coordinates:
Li 0.0000 0.0000 0.0000
Fe 0.5000 0.5000 0.0000
Hg 0.0000 0.5000 0.5000
Br 0.0000 0.0000 0.5000

**DFT total energy**: -10.49 eV/f.u.

---

DFT (GGA-PBEsol) results for a relaxed structure of Ta2TlZn.

Unit cell a=3.8042 b=4.1873 c=8.7906 alpha=90.00 beta=90.00 gamma=90.00
Space group Immm (No. 71)
Inequivalent atoms, fractional coordinates:
Ta 0.0000 0.0000 0.2455
Tl 0.0000 0.5000 0.0000
Zn 0.0000 0.5000 0.5000

**DFT formation energy**: 0.25 eV per atom
**DFT total energy**: -28.32 eV/f.u.

---

DFT (GGA-PBEsol) results for a relaxed structure of Ba2ZrCo.

Unit cell a=3.4608 b=3.4608 c=9.9334 alpha=90.00 beta=90.00 gamma=90.00
Space group P4mm (No. 99)
Inequivalent atoms, fractional coordinates:
Ba 0.0000 0.0000 0.0000
Ba 0.5000 0.5000 0.3808
Zr 0.5000 0.5000 0.7083
Co 0.0000 0.0000 0.6177

**DFT formation energy**: 0.26 eV per atom
**Excess energy over the best structure of this formula in the dataset**: 0.0000 eV/atom
**DFT total energy**: -20.08 eV/f.u.